[1]
# PBE-GGA CaY2AlNi, optimized geometry
# **Magnetic moment**: 0.0 μB per formula unit
# **Energy relative to the elements**: -0.170 eV/atom
# **Density**: 3.8 Mg/m³
data_CaY2AlNi
_chemical_formula_sum 'Ca1 Y2 Al1 Ni1'
_symmetry_space_group_name_H-M 'P 4/m m m'
_symmetry_Int_Tables_number 123
_symmetry_space_group_name_Hall '-P 4 2'
_cell_length_a 5.293
_cell_length_b 5.293
_cell_length_c 4.756
_cell_angle_alpha 90.00
_cell_angle_beta 90.00
_cell_angle_gamma 90.00
loop_
_atom_site_label
_atom_site_type_symbol
_atom_site_fract_x
_atom_site_fract_y
_atom_site_fract_z
Ca1 Ca 0.000 0.000 0.000
Y1 Y 0.000 0.500 0.500
Al1 Al 0.500 0.500 0.000
Ni1 Ni 0.500 0.500 0.500



[2]
# PBE-GGA CaAlZn2Ni, optimized geometry
# **Magnetic moment**: 0.0 μB per formula unit
# **Energy relative to the elements**: -0.212 eV/atom
# **Density**: 4.4 Mg/m³
data_CaAlZn2Ni
_chemical_formula_sum 'Ca1 Al1 Zn2 Ni1'
_symmetry_space_group_name_H-M 'P 4/m m m'
_symmetry_Int_Tables_number 123
_symmetry_space_group_name_Hall '-P 4 2'
_cell_length_a 4.657
_cell_length_b 4.657
_cell_length_c 4.509
_cell_angle_alpha 90.00
_cell_angle_beta 90.00
_cell_angle_gamma 90.00
loop_
_atom_site_label
_atom_site_type_symbol
_atom_site_fract_x
_atom_site_fract_y
_atom_site_fract_z
Ca1 Ca 0.000 0.000 0.000
Al1 Al 0.500 0.500 0.000
Zn1 Zn 0.000 0.500 0.500
Ni1 Ni 0.500 0.500 0.500



[3]
# PBE-GGA Ca2AlZn2Ni5, optimized geometry
# **Magnetic moment**: 0.0 μB per formula unit
# **Energy relative to the elements**: -0.187 eV/atom
# **Density**: 5.8 Mg/m³
data_Ca2AlZn2Ni5
_chemical_formula_sum 'Ca4 Al2 Zn4 Ni10'
_symmetry_space_group_name_H-M 'P 4/m b m'
_symmetry_Int_Tables_number 127
_symmetry_space_group_name_Hall '-P 4 2ab'
_cell_length_a 9.564
_cell_length_b 9.564
_cell_length_c 3.343
_cell_angle_alpha 90.00
_cell_angle_beta 90.00
_cell_angle_gamma 90.00
loop_
_atom_site_label
_atom_site_type_symbol
_atom_site_fract_x
_atom_site_fract_y
_atom_site_fract_z
Ca1 Ca 0.174 0.326 0.000
Al1 Al 0.000 0.000 0.000
Zn1 Zn 0.126 0.626 0.000
Ni1 Ni 0.000 0.500 0.500
Ni2 Ni 0.058 0.808 0.500



[4]
# PBE-GGA CaNpAl4, optimized geometry
# **Magnetic moment**: 4.7 μB per formula unit
# **Energy relative to the elements**: -0.130 eV/atom
# **Density**: 5.2 Mg/m³
data_CaNpAl4
_chemical_formula_sum 'Ca4 Np4 Al16'
_symmetry_space_group_name_H-M 'F -4 3 m'
_symmetry_Int_Tables_number 216
_symmetry_space_group_name_Hall 'F -4 2 3'
_cell_length_a 7.900
_cell_length_b 7.900
_cell_length_c 7.900
_cell_angle_alpha 90.00
_cell_angle_beta 90.00
_cell_angle_gamma 90.00
loop_
_atom_site_label
_atom_site_type_symbol
_atom_site_fract_x
_atom_site_fract_y
_atom_site_fract_z
Ca1 Ca 0.000 0.000 0.000
Np1 Np 0.250 0.250 0.250
Al1 Al 0.124 0.124 0.624



[5]
# PBE-GGA CaNpAlO6, optimized geometry
# **Magnetic moment**: 0.0 μB per formula unit
# **E_form (uncorrected)**: -2787 meV per atom
# **Density**: 5.5 Mg/m³
data_CaNpAlO6
_chemical_formula_sum 'Ca2 Np2 Al2 O12'
_symmetry_space_group_name_H-M 'P -3 1 c'
_symmetry_Int_Tables_number 163
_symmetry_space_group_name_Hall '-P 3 2c'
_cell_length_a 5.2413
_cell_length_b 5.2413
_cell_length_c 10.1058
_cell_angle_alpha 90.00
_cell_angle_beta 90.00
_cell_angle_gamma 120.00
loop_
_atom_site_label
_atom_site_type_symbol
_atom_site_fract_x
_atom_site_fract_y
_atom_site_fract_z
Ca1 Ca 0.0000 0.0000 0.0000
Np1 Np 0.3333 0.6667 0.2500
Al1 Al 0.3333 0.6667 0.7500
O1 O 0.0141 0.3716 0.6449



[6]
# PBE-GGA CaNpAl2O8, optimized geometry
# **Magnetic moment**: 1.1 μB per formula unit
# **E_form (uncorrected)**: -2423 meV per atom
# **Density**: 4.9 Mg/m³
data_CaNpAl2O8
_chemical_formula_sum 'Ca2 Np2 Al4 O16'
_symmetry_space_group_name_H-M 'I -4 m 2'
_symmetry_Int_Tables_number 119
_symmetry_space_group_name_Hall 'I -4 -2'
_cell_length_a 6.931
_cell_length_b 6.931
_cell_length_c 6.417
_cell_angle_alpha 90.00
_cell_angle_beta 90.00
_cell_angle_gamma 90.00
loop_
_atom_site_label
_atom_site_type_symbol
_atom_site_fract_x
_atom_site_fract_y
_atom_site_fract_z
Ca1 Ca 0.000 0.000 0.000
Np1 Np 0.000 0.500 0.250
Al1 Al 0.000 0.000 0.500
Al2 Al 0.000 0.500 0.750
O1 O 0.000 0.205 0.331
O2 O 0.000 0.323 0.946